# Sr2MnInI (GGA-PBE, optimized geometry)
data_Sr2MnInI
_chemical_formula_sum 'Sr2 Mn1 In1 I1'
_symmetry_space_group_name_H-M 'P 4/m m m'
_symmetry_Int_Tables_number 123
_symmetry_space_group_name_Hall '-P 4 2'
_cell_length_a 6.4142
_cell_length_b 6.4142
_cell_length_c 5.1407
_cell_angle_alpha 90.00
_cell_angle_beta 90.00
_cell_angle_gamma 90.00
loop_
_atom_site_label
_atom_site_type_symbol
_atom_site_fract_x
_atom_site_fract_y
_atom_site_fract_z
Sr1 Sr 0.0000 0.5000 0.0000
Mn1 Mn 0.0000 0.0000 0.5000
In1 In 0.0000 0.0000 0.0000
I1 I 0.5000 0.5000 0.5000
# - uncorrected formation energy (eV/atom) = -0.1048
# - size of the total moment (μB/f.u.) = 4.60
# - Fermi-level density of states (states/eV per cell) = 2.20
# - uncorrected energy (eV/atom) = -3.469

---

# MgMn2ZnC (GGA-PBE, optimized geometry)
data_MgMn2ZnC
_chemical_formula_sum 'Mg1 Mn2 Zn1 C1'
_symmetry_space_group_name_H-M 'P 4/m m m'
_symmetry_Int_Tables_number 123
_symmetry_space_group_name_Hall '-P 4 2'
_cell_length_a 4.6085
_cell_length_b 4.6085
_cell_length_c 4.7516
_cell_angle_alpha 90.00
_cell_angle_beta 90.00
_cell_angle_gamma 90.00
loop_
_atom_site_label
_atom_site_type_symbol
_atom_site_fract_x
_atom_site_fract_y
_atom_site_fract_z
Mg1 Mg 0.0000 0.0000 0.0000
Mn1 Mn 0.0000 0.5000 0.5000
Zn1 Zn 0.0000 0.0000 0.5000
C1 C 0.5000 0.5000 0.0000
# - ΔH_f (0 K) (eV/atom) = 1.800
# - size of the total moment (μB/f.u.) = 6.80
# - Fermi-level density of states (states/eV per cell) = 2.66
# - ΔE to the lowest computed polymorph (meV/atom) = 1729
# - uncorrected energy (eV/atom) = -4.286

---

# HfGeIr2C (GGA-PBE, optimized geometry)
data_HfGeIr2C
_chemical_formula_sum 'Hf1 Ge1 Ir2 C1'
_symmetry_space_group_name_H-M 'P 4/m m m'
_symmetry_Int_Tables_number 123
_symmetry_space_group_name_Hall '-P 4 2'
_cell_length_a 4.8358
_cell_length_b 4.8358
_cell_length_c 5.1434
_cell_angle_alpha 90.00
_cell_angle_beta 90.00
_cell_angle_gamma 90.00
loop_
_atom_site_label
_atom_site_type_symbol
_atom_site_fract_x
_atom_site_fract_y
_atom_site_fract_z
Hf1 Hf 0.0000 0.0000 0.0000
Ge1 Ge 0.0000 0.0000 0.5000
Ir1 Ir 0.0000 0.5000 0.0000
C1 C 0.5000 0.5000 0.5000
# - ΔH_f (0 K) (eV/atom) = 2.563
# - size of the total moment (μB/f.u.) = 1.25
# - Fermi-level density of states (states/eV per cell) = 5.63
# - uncorrected energy (eV/atom) = -5.740

---

# Mg6ZrFe (GGA-PBE, optimized geometry)
data_Mg6ZrFe
_chemical_formula_sum 'Mg12 Zr2 Fe2'
_symmetry_space_group_name_H-M 'A m m 2'
_symmetry_Int_Tables_number 38
_cell_length_a 4.9470
_cell_length_b 5.9167
_cell_length_c 11.3036
_cell_angle_alpha 90.00
_cell_angle_beta 90.00
_cell_angle_gamma 90.00
loop_
_symmetry_equiv_pos_as_xyz
'x,y,z'
'-x,-y,z'
'-x,y,z'
'x,-y,z'
'x,y+1/2,z+1/2'
'-x,-y+1/2,z+1/2'
'-x,y+1/2,z+1/2'
'x,-y+1/2,z+1/2'
loop_
_atom_site_label
_atom_site_type_symbol
_atom_site_fract_x
_atom_site_fract_y
_atom_site_fract_z
Mg1 Mg 0.0000 0.0000 0.0000
Mg2 Mg 0.0000 0.0000 0.4752
Mg3 Mg 0.0000 0.2472 0.2505
Mg4 Mg 0.5000 0.2493 0.0949
Zr1 Zr 0.5000 0.0000 0.8467
Fe1 Fe 0.5000 0.0000 0.3302
# - ΔH_f (0 K) (eV/atom) = 0.175
# - size of the total moment (μB/f.u.) = 1.85
# - Fermi-level density of states (states/eV per cell) = 16.28
# - ΔE to the lowest computed polymorph (meV/atom) = 39
# - uncorrected energy (eV/atom) = -3.147

---

# SrMg2 (GGA-PBE, optimized geometry)
data_SrMg2
_chemical_formula_sum 'Sr2 Mg4'
_symmetry_space_group_name_H-M 'I 4/m m m'
_symmetry_Int_Tables_number 139
_symmetry_space_group_name_Hall '-I 4 2'
_cell_length_a 3.9423
_cell_length_b 3.9423
_cell_length_c 12.3697
_cell_angle_alpha 90.00
_cell_angle_beta 90.00
_cell_angle_gamma 90.00
loop_
_atom_site_label
_atom_site_type_symbol
_atom_site_fract_x
_atom_site_fract_y
_atom_site_fract_z
Sr1 Sr 0.0000 0.0000 0.0000
Mg1 Mg 0.0000 0.0000 0.3091
# - ΔH_f (0 K) (eV/atom) = -0.016
# - size of the total moment (μB/f.u.) = 0.00
# - Fermi-level density of states (states/eV per cell) = 4.37
# - uncorrected energy (eV/atom) = -1.640

---

# Rb2RhBr (GGA-PBE, optimized geometry)
data_Rb2RhBr
_chemical_formula_sum 'Rb8 Rh4 Br4'
_symmetry_space_group_name_H-M 'I -4 2 d'
_symmetry_Int_Tables_number 122
_symmetry_space_group_name_Hall 'I -4 2bw'
_cell_length_a 9.1211
_cell_length_b 9.1211
_cell_length_c 8.9972
_cell_angle_alpha 90.00
_cell_angle_beta 90.00
_cell_angle_gamma 90.00
loop_
_atom_site_label
_atom_site_type_symbol
_atom_site_fract_x
_atom_site_fract_y
_atom_site_fract_z
Rb1 Rb 0.2362 0.7500 0.1250
Rh1 Rh 0.0000 0.0000 0.5000
Br1 Br 0.0000 0.0000 0.0000
# - uncorrected formation energy (eV/atom) = 0.0794
# - size of the total moment (μB/f.u.) = 2.00
# - Fermi-level density of states (states/eV per cell) = 6.38
# - ΔE to the lowest computed polymorph (meV/atom) = 31
# - uncorrected energy (eV/atom) = -2.660

---

# NpCuAgCl6 (GGA-PBE, optimized geometry)
data_NpCuAgCl6
_chemical_formula_sum 'Np2 Cu2 Ag2 Cl12'
_symmetry_space_group_name_H-M 'P -3 1 c'
_symmetry_Int_Tables_number 163
_symmetry_space_group_name_Hall '-P 3 2c'
_cell_length_a 6.5018
_cell_length_b 6.5018
_cell_length_c 12.5007
_cell_angle_alpha 90.00
_cell_angle_beta 90.00
_cell_angle_gamma 120.00
loop_
_atom_site_label
_atom_site_type_symbol
_atom_site_fract_x
_atom_site_fract_y
_atom_site_fract_z
Np1 Np 0.3333 0.6667 0.2500
Cu1 Cu 0.3333 0.6667 0.7500
Ag1 Ag 0.0000 0.0000 0.0000
Cl1 Cl 0.0114 0.3525 0.6307
# - uncorrected formation energy (eV/atom) = -1.0738
# - size of the total moment (μB/f.u.) = 2.99
# - Fermi-level density of states (states/eV per cell) = 15.68
# - uncorrected energy (eV/atom) = -4.515

---

# Pa2CoAu (GGA-PBE, optimized geometry)
data_Pa2CoAu
_chemical_formula_sum 'Pa6 Co3 Au3'
_symmetry_space_group_name_H-M 'R -3 m'
_symmetry_Int_Tables_number 166
_symmetry_space_group_name_Hall '-R 3 2"'
_cell_length_a 3.3769
_cell_length_b 3.3769
_cell_length_c 28.0131
_cell_angle_alpha 90.00
_cell_angle_beta 90.00
_cell_angle_gamma 120.00
loop_
_atom_site_label
_atom_site_type_symbol
_atom_site_fract_x
_atom_site_fract_y
_atom_site_fract_z
Pa1 Pa 0.0000 0.0000 0.1043
Co1 Co 0.0000 0.0000 0.5000
Au1 Au 0.0000 0.0000 0.0000
# - ΔH_f (0 K) (eV/atom) = 0.194
# - size of the total moment (μB/f.u.) = 0.00
# - Fermi-level density of states (states/eV per cell) = 12.66
# - ΔE to the lowest computed polymorph (meV/atom) = 467
# - uncorrected energy (eV/atom) = -7.150

---

# Ta2TeOs (GGA-PBE, optimized geometry)
data_Ta2TeOs
_chemical_formula_sum 'Ta4 Te2 Os2'
_symmetry_space_group_name_H-M 'C 1 2/m 1'
_symmetry_Int_Tables_number 12
_cell_length_a 5.9131
_cell_length_b 7.6842
_cell_length_c 3.2167
_cell_angle_alpha 90.00
_cell_angle_beta 98.27
_cell_angle_gamma 90.00
loop_
_symmetry_equiv_pos_as_xyz
'x,y,z'
'-x,-y,-z'
'-x,y,-z'
'x,-y,z'
'x+1/2,y+1/2,z'
'-x+1/2,-y+1/2,-z'
'-x+1/2,y+1/2,-z'
'x+1/2,-y+1/2,z'
loop_
_atom_site_label
_atom_site_type_symbol
_atom_site_fract_x
_atom_site_fract_y
_atom_site_fract_z
Ta1 Ta 0.2500 0.2500 0.0000
Te1 Te 0.0000 0.0000 0.5000
Os1 Os 0.0000 0.5000 0.5000
# - uncorrected formation energy (eV/atom) = 0.2545
# - size of the total moment (μB/f.u.) = 0.00
# - Fermi-level density of states (states/eV per cell) = 5.49
# - uncorrected energy (eV/atom) = -9.265

---

# PuTcB2 (GGA-PBE, optimized geometry)
data_PuTcB2
_chemical_formula_sum 'Pu3 Tc3 B6'
_symmetry_space_group_name_H-M 'R -3 m'
_symmetry_Int_Tables_number 166
_symmetry_space_group_name_Hall '-R 3 2"'
_cell_length_a 3.1617
_cell_length_b 3.1617
_cell_length_c 17.9659
_cell_angle_alpha 90.00
_cell_angle_beta 90.00
_cell_angle_gamma 120.00
loop_
_atom_site_label
_atom_site_type_symbol
_atom_site_fract_x
_atom_site_fract_y
_atom_site_fract_z
Pu1 Pu 0.0000 0.0000 0.0000
Tc1 Tc 0.0000 0.0000 0.5000
B1 B 0.0000 0.0000 0.2356
# - ΔH_f (0 K) (eV/atom) = -0.011
# - size of the total moment (μB/f.u.) = 4.05
# - Fermi-level density of states (states/eV per cell) = 19.48
# - ΔE to the lowest computed polymorph (meV/atom) = 389
# - uncorrected energy (eV/atom) = -9.524

---

# NaCaAg2F8 (GGA-PBE, optimized geometry)
data_NaCaAg2F8
_chemical_formula_sum 'Na2 Ca2 Ag4 F16'
_symmetry_space_group_name_H-M 'I -4 m 2'
_symmetry_Int_Tables_number 119
_symmetry_space_group_name_Hall 'I -4 -2'
_cell_length_a 5.4499
_cell_length_b 5.4499
_cell_length_c 10.8752
_cell_angle_alpha 90.00
_cell_angle_beta 90.00
_cell_angle_gamma 90.00
loop_
_atom_site_label
_atom_site_type_symbol
_atom_site_fract_x
_atom_site_fract_y
_atom_site_fract_z
Na1 Na 0.0000 0.0000 0.0000
Ca1 Ca 0.0000 0.5000 0.2500
Ag1 Ag 0.0000 0.0000 0.5000
Ag2 Ag 0.0000 0.5000 0.7500
F1 F 0.2385 0.2463 0.6267
# - uncorrected formation energy (eV/atom) = -1.9864
# - size of the total moment (μB/f.u.) = 3.03
# - Fermi-level density of states (states/eV per cell) = 11.08
# - uncorrected energy (eV/atom) = -3.986

---

# AsPbF3 (GGA-PBE, optimized geometry)
data_AsPbF3
_chemical_formula_sum 'As1 Pb1 F3'
_symmetry_space_group_name_H-M 'P m -3 m'
_symmetry_Int_Tables_number 221
_symmetry_space_group_name_Hall '-P 4 2 3'
_cell_length_a 4.7271
_cell_length_b 4.7271
_cell_length_c 4.7271
_cell_angle_alpha 90.00
_cell_angle_beta 90.00
_cell_angle_gamma 90.00
loop_
_atom_site_label
_atom_site_type_symbol
_atom_site_fract_x
_atom_site_fract_y
_atom_site_fract_z
As1 As 0.0000 0.0000 0.0000
Pb1 Pb 0.5000 0.5000 0.5000
F1 F 0.0000 0.5000 0.5000
# - uncorrected formation energy (eV/atom) = -1.1477
# - size of the total moment (μB/f.u.) = 2.24
# - Fermi-level density of states (states/eV per cell) = 8.15
# - ΔE to the lowest computed polymorph (meV/atom) = 56
# - uncorrected energy (eV/atom) = -3.942